No. 1
First-principles (PBE) data for ErAlNi4 after structural relaxation, as listed in Alexandria. Values from VASP.

Results
space group: No. 187
crystal system: hexagonal

```
&SYSTEM
  ibrav = 0, nat = 6, ntyp = 3
/
ATOMIC_SPECIES
Er 167.26 Er.upf
Al 26.98 Al.upf
Ni 58.69 Ni.upf
ATOMIC_POSITIONS crystal
Er 0.000 0.000 0.000
Al 0.333 0.667 0.000
Ni 0.502 0.004 0.500
Ni 0.502 0.498 0.500
Ni 0.667 0.333 0.000
Ni 0.996 0.498 0.500
CELL_PARAMETERS angstrom
5.026 0.000 0.000
-2.513 4.353 0.000
0.000 0.000 3.871
```

No. 2
First-principles (PBE) data for Bi3RuC after structural relaxation, as listed in Alexandria. Values from VASP.

Results
space group: No. 221
crystal system: cubic

```
&SYSTEM
  ibrav = 0, nat = 5, ntyp = 3
/
ATOMIC_SPECIES
Bi 208.98 Bi.upf
Ru 101.07 Ru.upf
C 12.01 C.upf
ATOMIC_POSITIONS crystal
Bi 0.000 0.000 0.500
Bi 0.000 0.500 0.000
Bi 0.500 0.000 0.000
Ru 0.000 0.000 0.000
C 0.500 0.500 0.500
CELL_PARAMETERS angstrom
5.252 0.000 0.000
0.000 5.252 0.000
0.000 0.000 5.252
```

No. 3
First-principles (PBE) data for SmHo6In6 after structural relaxation, as listed in Alexandria. Values from VASP.

Results
space group: No. 191
crystal system: hexagonal

```
&SYSTEM
  ibrav = 0, nat = 13, ntyp = 3
/
ATOMIC_SPECIES
Sm 150.36 Sm.upf
Ho 164.93 Ho.upf
In 114.82 In.upf
ATOMIC_POSITIONS crystal
Sm 0.000 0.000 0.000
Ho 0.000 0.000 0.340
Ho 0.000 0.000 0.660
Ho 0.333 0.667 0.000
Ho 0.333 0.667 0.500
Ho 0.667 0.333 0.000
Ho 0.667 0.333 0.500
In 0.000 0.500 0.246
In 0.000 0.500 0.754
In 0.500 0.000 0.246
In 0.500 0.000 0.754
In 0.500 0.500 0.246
In 0.500 0.500 0.754
CELL_PARAMETERS angstrom
6.241 0.000 0.000
-3.121 5.405 0.000
0.000 0.000 10.728
```

No. 4
First-principles (PBE) data for CeGaPd2 after structural relaxation, as listed in Alexandria. Values from VASP.

Results
space group: No. 62
crystal system: orthorhombic

```
&SYSTEM
  ibrav = 0, nat = 16, ntyp = 3
/
ATOMIC_SPECIES
Ce 140.12 Ce.upf
Ga 69.72 Ga.upf
Pd 106.42 Pd.upf
ATOMIC_POSITIONS crystal
Ce 0.038 0.250 0.155
Ce 0.462 0.750 0.655
Ce 0.538 0.250 0.345
Ce 0.962 0.750 0.845
Ga 0.114 0.750 0.343
Ga 0.386 0.250 0.843
Ga 0.614 0.750 0.157
Ga 0.886 0.250 0.657
Pd 0.181 0.050 0.585
Pd 0.181 0.450 0.585
Pd 0.319 0.550 0.085
Pd 0.319 0.950 0.085
Pd 0.681 0.050 0.915
Pd 0.681 0.450 0.915
Pd 0.819 0.550 0.415
Pd 0.819 0.950 0.415
CELL_PARAMETERS angstrom
7.613 0.000 0.000
0.000 7.043 0.000
0.000 0.000 5.765
```

No. 5
First-principles (PBE) data for Tb6Ag5Os after structural relaxation, as listed in Alexandria. Values from VASP.

Results
space group: No. 65
crystal system: orthorhombic

```
&SYSTEM
  ibrav = 0, nat = 12, ntyp = 3
/
ATOMIC_SPECIES
Tb 158.93 Tb.upf
Ag 107.87 Ag.upf
Os 190.23 Os.upf
ATOMIC_POSITIONS crystal
Tb 0.000 0.000 0.232
Tb 0.000 0.000 0.768
Tb 0.343 0.657 0.241
Tb 0.343 0.657 0.759
Tb 0.657 0.343 0.241
Tb 0.657 0.343 0.759
Ag 0.167 0.833 0.500
Ag 0.176 0.824 0.000
Ag 0.500 0.500 0.500
Ag 0.824 0.176 0.000
Ag 0.833 0.167 0.500
Os 0.500 0.500 0.000
CELL_PARAMETERS angstrom
2.548 -7.658 0.000
2.548 7.658 0.000
0.000 0.000 7.246
```

No. 6
First-principles (PBE) data for PuHfZrTc after structural relaxation, as listed in Alexandria. Values from VASP.

Results
space group: No. 216
crystal system: cubic

```
&SYSTEM
  ibrav = 0, nat = 16, ntyp = 4
/
ATOMIC_SPECIES
Pu 244.00 Pu.upf
Hf 178.49 Hf.upf
Zr 91.22 Zr.upf
Tc 98.00 Tc.upf
ATOMIC_POSITIONS crystal
Pu 0.000 0.000 0.000
Pu 0.000 0.500 0.500
Pu 0.500 0.000 0.500
Pu 0.500 0.500 0.000
Hf 0.250 0.250 0.750
Hf 0.250 0.750 0.250
Hf 0.750 0.250 0.250
Hf 0.750 0.750 0.750
Zr 0.250 0.250 0.250
Zr 0.250 0.750 0.750
Zr 0.750 0.250 0.750
Zr 0.750 0.750 0.250
Tc 0.000 0.000 0.500
Tc 0.000 0.500 0.000
Tc 0.500 0.000 0.000
Tc 0.500 0.500 0.500
CELL_PARAMETERS angstrom
6.839 0.000 0.000
0.000 6.839 0.000
0.000 0.000 6.839
```

no.,energy relative to the elements (kJ/mol of formula units)
1,-274
2,810
3,-405
4,-308
5,-358
6,35